No. 1
Tb2YErO6 | the Alexandria database | PBE | relaxed; uncorrected energy = -8.533 eV/atom; D(E_F) = 0.00 states/eV/atom; theoretical density = 7.49 g cm⁻³; energy relative to the elements, uncorrected = -3.53 eV/atom; magnetization = 0.00 Bohr magnetons per cell; crystal system = trigonal
1.0
-1.5296 -3.2163 4.6045
-1.7334 -5.5071 -0.7431
3.7005 -4.4814 1.7787
O Tb Er Y
6 2 1 1
direct
0.6181 0.2063 0.2523 O
0.7038 0.1228 0.7545 O
0.9234 0.6181 0.2522 O
0.2063 0.9233 0.2523 O
0.4189 0.7038 0.7545 O
0.1227 0.4190 0.7545 O
0.0251 0.0252 0.9245 Tb
0.5259 0.5259 0.4223 Tb
0.3094 0.3093 0.0719 Er
0.8079 0.8080 0.5762 Y

***

No. 2
BaNa3U4Se12 | the Alexandria database | PBE | relaxed; uncorrected energy = -5.830 eV/atom; D(E_F) = 0.62 states/eV/atom; theoretical density = 5.88 g cm⁻³; energy relative to the elements, uncorrected = -1.19 eV/atom; magnetization = 5.00 Bohr magnetons per cell; crystal system = cubic
1.0
9.1750 0.0000 0.0000
-3.0583 8.6503 0.0000
-3.0583 -4.3252 7.4914
Se U Na Ba
12 4 3 1
direct
0.1895 0.4804 0.2910 Se
0.1895 0.8985 0.7090 Se
0.4804 0.2910 0.1895 Se
0.8105 0.1015 0.2910 Se
0.8985 0.7090 0.1895 Se
0.7090 0.8105 0.5196 Se
0.2910 0.1895 0.4804 Se
0.1015 0.2910 0.8105 Se
0.7090 0.1895 0.8985 Se
0.5196 0.7090 0.8105 Se
0.8105 0.5196 0.7090 Se
0.2910 0.8105 0.1015 Se
0.0000 0.0000 0.5000 U
0.5000 0.5000 0.5000 U
0.0000 0.5000 0.0000 U
0.5000 0.0000 0.0000 U
0.5000 0.5000 0.0000 Na
0.5000 0.0000 0.5000 Na
0.0000 0.5000 0.5000 Na
0.0000 0.0000 0.0000 Ba